GaWNO2 after structural relaxation, computed with PBE with a Hubbard U.

a = 3.7182 Å, b = 3.7182 Å, c = 4.0193 Å
α = 90.00°, β = 90.00°, γ = 90.00°
With the nearest neighbours (Å) after each atom.
Space group P4/mmm (No. 123)
Asymmetric unit:
Ga: 0.0000 0.0000 0.0000 (multiplicity 1)  4 O 1.86, 2 N 2.01
W: 0.5000 0.5000 0.5000 (multiplicity 1)  4 N 2.63, 8 O 2.74
N: 0.0000 0.0000 0.5000 (multiplicity 1)  2 Ga 2.01
O: 0.0000 0.5000 0.0000 (multiplicity 2)  2 Ga 1.86

magnetization	2.02	μB/f.u.
raw total energy	-5.642	eV/atom